Entry 1:
Crystalline K2PmSiS4 at its relaxed geometry. Source: the Alexandria database, functional PBE-GGA.

Properties
The value obtained for the density is 3.2 Mg/m³. The calculation puts the total moment at 0.0 μB/f.u. The formation energy from raw total energies comes out at -1.102 eV/atom.

The structure in POSCAR format:
```
K2PmSiS4
1.0
-5.321 -0.364 -6.245
0.377 -8.202 0.156
-1.824 4.350 6.951
S Pm Si K
8 2 2 4
direct
0.242 0.258 0.446 S
0.263 0.699 0.481 S
0.242 0.258 0.054 S
0.801 0.237 0.019 S
0.737 0.301 0.519 S
0.758 0.742 0.554 S
0.199 0.763 0.981 S
0.758 0.742 0.946 S
0.000 0.500 0.500 Pm
0.000 0.500 0.000 Pm
0.000 0.000 0.000 Si
0.500 0.500 0.500 Si
0.500 0.000 0.000 K
0.000 0.000 0.500 K
0.500 0.000 0.500 K
0.500 0.500 0.000 K
```

=====

Entry 2:
Crystalline Ce3ThS4 at its relaxed geometry. Source: the Alexandria database, functional PBE-GGA.

Properties
The value obtained for the density is 7.0 Mg/m³. The calculation puts the total moment at 1.2 μB/f.u. The formation energy from raw total energies comes out at -2.003 eV/atom.

The structure in POSCAR format:
```
Ce3ThS4
1.0
5.688 0.000 0.000
0.000 5.688 0.000
0.000 0.000 5.688
Ce Th S
3 1 4
direct
0.500 0.500 0.000 Ce
0.500 0.000 0.500 Ce
0.000 0.500 0.500 Ce
0.000 0.000 0.000 Th
0.500 0.500 0.500 S
0.000 0.500 0.000 S
0.000 0.000 0.500 S
0.500 0.000 0.000 S
```

=====

Entry 3:
Crystalline CsAsHO at its relaxed geometry. Source: the Alexandria database, functional PBE-GGA.

Properties
The value obtained for the density is 4.2 Mg/m³. As for the total energy: -4.11 eV/atom. The calculation puts the total moment at 0.2 μB/f.u.

The structure in POSCAR format:
```
CsAsHO
1.0
4.283 0.000 0.000
0.000 3.669 0.000
-1.338 0.000 5.712
Cs As O H
1 1 1 1
direct
0.754 0.000 0.781 Cs
0.079 0.500 0.329 As
0.288 0.500 0.079 O
0.526 0.500 0.154 H
```

=====

Entry 4:
Crystalline SrNp3Tl4O12 at its relaxed geometry. Source: the Alexandria database, functional PBE-GGA.

Properties
The value obtained for the density is 8.8 Mg/m³. The calculation puts the total moment at 3.0 μB/f.u. The formation energy from raw total energies comes out at -2.251 eV/atom.

The structure in POSCAR format:
```
SrNp3Tl4O12
1.0
7.613 0.000 0.000
-2.538 7.178 0.000
-2.538 -3.589 6.216
O Tl Np Sr
12 4 3 1
direct
0.719 0.719 0.000 O
0.719 0.000 0.719 O
0.500 0.750 0.250 O
0.750 0.500 0.250 O
0.250 0.750 0.500 O
0.250 0.500 0.750 O
0.000 0.281 0.281 O
0.500 0.250 0.750 O
0.281 0.000 0.281 O
0.000 0.719 0.719 O
0.281 0.281 0.000 O
0.750 0.250 0.500 O
0.000 0.500 0.000 Tl
0.500 0.000 0.000 Tl
0.000 0.000 0.500 Tl
0.500 0.500 0.500 Tl
0.500 0.000 0.500 Np
0.000 0.500 0.500 Np
0.500 0.500 0.000 Np
0.000 0.000 0.000 Sr
```

=====

Entry 5:
Crystalline In3SnPd at its relaxed geometry. Source: the Alexandria database, functional PBE-GGA.

Properties
The value obtained for the density is 7.5 Mg/m³. The calculation puts the total moment at 0.0 μB/f.u. The calculation puts the formation energy at -168 meV/atom.

The structure in POSCAR format:
```
In3SnPd
1.0
-6.469 2.423 0.650
-0.818 -6.889 0.153
4.954 1.040 4.858
In Sn Pd
6 2 2
direct
0.787 0.549 0.723 In
0.826 0.064 0.277 In
0.174 0.936 0.723 In
0.721 0.449 0.170 In
0.213 0.451 0.277 In
0.279 0.551 0.830 In
0.271 0.944 0.215 Sn
0.729 0.056 0.785 Sn
0.624 0.755 0.379 Pd
0.376 0.245 0.621 Pd
```

=====

Entry 6:
Crystalline SrHoGa3 at its relaxed geometry. Source: the Alexandria database, functional PBE-GGA.

Properties
The value obtained for the density is 6.2 Mg/m³. The calculation puts the total moment at 0.0 μB/f.u. The calculation puts the formation energy at -508 meV/atom.

The structure in POSCAR format:
```
SrHoGa3
1.0
-1.839 3.445 1.622
1.448 -1.165 4.118
10.256 7.359 -4.004
Ga Ho Sr
6 2 2
direct
0.750 0.623 0.247 Ga
0.250 0.377 0.753 Ga
0.250 0.474 0.949 Ga
0.750 0.319 0.638 Ga
0.250 0.681 0.362 Ga
0.750 0.526 0.051 Ga
0.750 0.204 0.408 Ho
0.250 0.796 0.592 Ho
0.750 0.925 0.849 Sr
0.250 0.075 0.151 Sr
```

=====

Entry 7:
Crystalline YZn2GaS at its relaxed geometry. Source: the Alexandria database, functional PBE-GGA.

Properties
The value obtained for the density is 3.1 Mg/m³. The calculation puts the total moment at 0.0 μB/f.u. The formation energy from raw total energies comes out at 0.905 eV/atom.

The structure in POSCAR format:
```
YZn2GaS
1.0
5.508 0.000 0.000
0.000 5.692 0.000
0.000 0.000 5.508
Zn S Ga Y
2 1 1 1
direct
0.000 0.000 0.500 Zn
0.500 0.000 0.000 Zn
0.500 0.500 0.500 S
0.000 0.500 0.000 Ga
0.000 0.000 0.000 Y
```

=====

Entry 8:
Crystalline Ac2Pr3TmSe6 at its relaxed geometry. Source: the Alexandria database, functional PBE-GGA.

Properties
The value obtained for the density is 7.5 Mg/m³. The calculation puts the total moment at 0.0 μB/f.u. The formation energy from raw total energies comes out at -1.804 eV/atom.

The structure in POSCAR format:
```
Ac2Pr3TmSe6
1.0
7.456 -0.005 -0.005
-3.731 6.456 -0.005
-1.247 -2.160 6.990
Se Pr Ac Tm
6 3 2 1
direct
0.606 0.920 0.755 Se
0.080 0.394 0.245 Se
0.227 0.227 0.744 Se
0.773 0.773 0.256 Se
0.394 0.080 0.245 Se
0.920 0.606 0.755 Se
0.500 0.500 0.500 Pr
0.177 0.823 0.500 Pr
0.823 0.177 0.500 Pr
0.335 0.665 0.000 Ac
0.665 0.335 0.000 Ac
0.000 0.000 0.000 Tm
```

=====

Entry 9:
Crystalline BaCuBi at its relaxed geometry. Source: the Alexandria database, functional PBE-GGA.

Properties
The value obtained for the density is 7.0 Mg/m³. The calculation puts the total moment at 0.0 μB/f.u. The calculation puts the formation energy at -444 meV/atom.

The structure in POSCAR format:
```
BaCuBi
1.0
-6.120 -5.342 2.883
0.670 -5.576 3.971
4.923 3.231 3.556
Ba Bi Cu
2 2 2
direct
0.105 0.346 0.413 Ba
0.105 0.844 0.911 Ba
0.795 0.094 0.163 Bi
0.414 0.096 0.161 Bi
0.464 0.594 0.663 Cu
0.746 0.596 0.661 Cu
```

=====

Entry 10:
Crystalline CaTb3Pm2 at its relaxed geometry. Source: the Alexandria database, functional PBE-GGA.

Properties
The value obtained for the density is 6.3 Mg/m³. The calculation puts the total moment at 0.0 μB/f.u. The calculation puts the formation energy at 211 meV/atom.

The structure in POSCAR format:
```
CaTb3Pm2
1.0
6.754 0.000 0.000
-3.377 5.849 -0.001
0.000 -0.001 10.801
Tb Pm Ca
6 4 2
direct
0.340 0.170 0.740 Tb
0.660 0.830 0.260 Tb
0.830 0.170 0.740 Tb
0.170 0.340 0.260 Tb
0.170 0.830 0.260 Tb
0.830 0.660 0.740 Tb
0.333 0.667 0.574 Pm
0.667 0.333 0.426 Pm
0.000 0.000 0.500 Pm
0.000 0.000 0.000 Pm
0.667 0.333 0.064 Ca
0.333 0.667 0.936 Ca
```

=====

Entry 11:
Crystalline ZnFeSb at its relaxed geometry. Source: the Alexandria database, functional PBE-GGA.

Properties
The value obtained for the density is 8.5 Mg/m³. The calculation puts the total moment at 1.0 μB/f.u. The formation energy from raw total energies comes out at 0.210 eV/atom.

The structure in POSCAR format:
```
ZnFeSb
1.0
-1.836 0.822 -4.344
1.956 -2.053 -3.857
-1.516 -1.263 4.361
Sb Zn Fe
1 1 1
direct
0.342 0.342 0.000 Sb
0.660 0.660 0.000 Zn
0.998 0.998 0.000 Fe
```

=====

Entry 12:
Crystalline Fe3NiPb at its relaxed geometry. Source: the Alexandria database, functional PBE-GGA.

Properties
The value obtained for the density is 8.3 Mg/m³. The calculation puts the total moment at 9.6 μB/f.u. The calculation puts the formation energy at 768 meV/atom.

The structure in POSCAR format:
```
Fe3NiPb
1.0
-0.012 4.325 0.968
-2.053 -0.864 3.832
3.928 -0.438 2.005
Fe Ni Pb
3 1 1
direct
0.000 0.500 0.000 Fe
0.000 0.000 0.500 Fe
0.500 0.000 0.000 Fe
0.000 0.000 0.000 Ni
0.500 0.500 0.500 Pb
```

=====

Entry 13:
Crystalline CsLi3S2 at its relaxed geometry. Source: the Alexandria database, functional PBE-GGA.

Properties
The value obtained for the density is 2.7 Mg/m³. The calculation puts the total moment at 0.0 μB/f.u. The formation energy from raw total energies comes out at -1.233 eV/atom.

The structure in POSCAR format:
```
CsLi3S2
1.0
4.226 0.000 0.000
-2.113 8.138 0.160
0.000 -3.498 7.750
S Li Cs
4 6 2
direct
0.808 0.616 0.353 S
0.192 0.384 0.647 S
0.526 0.051 0.278 S
0.474 0.949 0.722 S
0.311 0.622 0.543 Li
0.405 0.810 0.373 Li
0.595 0.190 0.627 Li
0.689 0.378 0.457 Li
0.938 0.876 0.608 Li
0.062 0.124 0.392 Li
0.867 0.733 0.957 Cs
0.133 0.267 0.043 Cs
```

=====

Entry 14:
Crystalline Sn5Te12As3 at its relaxed geometry. Source: the Alexandria database, functional PBE-GGA.

Properties
The value obtained for the density is 5.4 Mg/m³. The calculation puts the total moment at 0.0 μB/f.u. The formation energy from raw total energies comes out at 0.167 eV/atom.

The structure in POSCAR format:
```
Sn5Te12As3
1.0
15.583 0.000 0.000
-5.194 14.692 0.000
-5.194 -7.346 12.724
Te Sn As
48 20 12
direct
0.438 0.284 0.334 Te
0.847 0.562 0.897 Te
0.716 0.562 0.166 Te
0.103 0.166 0.450 Te
0.216 0.550 0.653 Te
0.062 0.166 0.216 Te
0.284 0.847 0.950 Te
0.166 0.103 0.950 Te
0.666 0.450 0.603 Te
0.450 0.666 0.103 Te
0.950 0.603 0.166 Te
0.397 0.347 0.562 Te
0.334 0.784 0.438 Te
0.397 0.050 0.334 Te
0.103 0.938 0.153 Te
0.166 0.062 0.716 Te
0.784 0.450 0.347 Te
0.716 0.153 0.050 Te
0.153 0.716 0.550 Te
0.938 0.103 0.653 Te
0.334 0.550 0.397 Te
0.897 0.062 0.847 Te
0.562 0.847 0.397 Te
0.603 0.653 0.438 Te
0.666 0.216 0.562 Te
0.834 0.897 0.050 Te
0.050 0.397 0.834 Te
0.284 0.438 0.834 Te
0.950 0.347 0.284 Te
0.347 0.397 0.062 Te
0.784 0.334 0.938 Te
0.653 0.050 0.216 Te
0.347 0.950 0.784 Te
0.897 0.834 0.550 Te
0.050 0.653 0.716 Te
0.603 0.950 0.666 Te
0.450 0.784 0.847 Te
0.438 0.153 0.603 Te
0.216 0.666 0.062 Te
0.847 0.284 0.450 Te
0.153 0.438 0.103 Te
0.550 0.334 0.897 Te
0.834 0.938 0.284 Te
0.550 0.216 0.153 Te
0.562 0.716 0.666 Te
0.653 0.603 0.938 Te
0.062 0.897 0.347 Te
0.938 0.834 0.784 Te
0.500 0.000 0.500 Sn
0.625 0.875 0.250 Sn
0.000 0.500 0.500 Sn
0.250 0.375 0.625 Sn
0.875 0.250 0.625 Sn
0.000 0.500 0.000 Sn
0.125 0.375 0.250 Sn
0.625 0.750 0.875 Sn
0.125 0.750 0.375 Sn
0.375 0.125 0.750 Sn
0.000 0.000 0.500 Sn
0.500 0.500 0.500 Sn
0.750 0.125 0.875 Sn
0.500 0.500 0.000 Sn
0.875 0.625 0.750 Sn
0.375 0.250 0.125 Sn
0.500 0.000 0.000 Sn
0.250 0.875 0.125 Sn
0.750 0.625 0.375 Sn
0.000 0.000 0.000 Sn
0.375 0.750 0.625 As
0.875 0.750 0.125 As
0.625 0.375 0.750 As
0.125 0.875 0.750 As
0.875 0.125 0.250 As
0.625 0.250 0.375 As
0.750 0.875 0.625 As
0.750 0.375 0.125 As
0.375 0.625 0.250 As
0.250 0.125 0.375 As
0.250 0.625 0.875 As
0.125 0.250 0.875 As
```

=====

Entry 15:
Crystalline La10TbTm4 at its relaxed geometry. Source: the Alexandria database, functional PBE-GGA.

Properties
The value obtained for the density is 6.8 Mg/m³. The calculation puts the total moment at 0.0 μB/f.u. The calculation puts the formation energy at 382 meV/atom.

The structure in POSCAR format:
```
La10TbTm4
1.0
-9.380 -4.578 2.563
-1.439 -8.597 1.914
-3.455 -0.961 8.172
La Tb Tm
10 1 4
direct
0.049 0.355 0.879 La
0.716 0.355 0.879 La
0.284 0.645 0.121 La
0.750 0.500 0.500 La
0.250 0.500 0.500 La
0.951 0.645 0.121 La
0.596 0.121 0.355 La
0.404 0.879 0.645 La
0.928 0.121 0.355 La
0.072 0.879 0.645 La
0.000 0.000 0.000 Tb
0.767 0.788 0.677 Tm
0.233 0.212 0.323 Tm
0.445 0.323 0.788 Tm
0.555 0.677 0.212 Tm
```

=====

Entry 16:
Crystalline SbS2N2 at its relaxed geometry. Source: the Alexandria database, functional PBE-GGA.

Properties
The value obtained for the density is 3.4 Mg/m³. The calculation puts the total moment at 2.6 μB/f.u. The formation energy from raw total energies comes out at 2.054 eV/atom.

The structure in POSCAR format:
```
SbS2N2
1.0
-4.954 -1.069 0.097
0.169 -0.325 5.056
-0.843 3.932 0.281
S N Sb
2 2 1
direct
0.000 0.500 0.000 S
0.500 0.000 0.000 S
0.500 0.500 0.500 N
0.000 0.000 0.500 N
0.000 0.000 0.000 Sb
```

=====

Entry 17:
Crystalline Nd2TlH3 at its relaxed geometry. Source: the Alexandria database, functional PBE-GGA.

Properties
The value obtained for the density is 7.6 Mg/m³. As for the total energy: -4.14 eV/atom. The calculation puts the total moment at 0.0 μB/f.u.

The structure in POSCAR format:
```
Nd2TlH3
1.0
-1.043 -3.175 1.930
-5.180 -0.326 -7.194
7.614 -2.339 0.266
Nd Tl H
4 2 6
direct
0.531 0.063 0.776 Nd
0.799 0.598 0.273 Nd
0.469 0.937 0.224 Nd
0.201 0.402 0.727 Nd
0.878 0.756 0.787 Tl
0.122 0.244 0.213 Tl
0.596 0.193 0.571 H
0.694 0.388 0.905 H
0.071 0.141 0.714 H
0.929 0.859 0.286 H
0.306 0.612 0.095 H
0.404 0.807 0.429 H
```

=====

Entry 18:
Crystalline ZrCoRh2 at its relaxed geometry. Source: the Alexandria database, functional PBE-GGA.

Properties
The value obtained for the density is 9.6 Mg/m³. The calculation puts the total moment at 1.6 μB/f.u. The calculation puts the formation energy at -202 meV/atom.

The structure in POSCAR format:
```
ZrCoRh2
1.0
4.426 0.000 0.000
2.213 3.833 0.000
2.213 1.278 3.614
Rh Zr Co
2 1 1
direct
0.000 0.000 0.000 Rh
0.250 0.250 0.250 Rh
0.750 0.750 0.750 Zr
0.500 0.500 0.500 Co
```

=====

Entry 19:
Crystalline Pm3GeIr at its relaxed geometry. Source: the Alexandria database, functional PBE-GGA.

Properties
The value obtained for the density is 8.9 Mg/m³. The calculation puts the total moment at 0.0 μB/f.u. The calculation puts the formation energy at -614 meV/atom.

The structure in POSCAR format:
```
Pm3GeIr
1.0
-1.980 -0.685 -3.647
-5.790 -1.446 3.414
-2.387 8.730 -0.345
Ir Pm Ge
2 6 2
direct
0.250 0.420 0.250 Ir
0.750 0.580 0.750 Ir
0.750 0.717 0.250 Pm
0.250 0.283 0.750 Pm
0.250 0.749 0.946 Pm
0.750 0.251 0.054 Pm
0.250 0.749 0.554 Pm
0.750 0.251 0.446 Pm
0.750 0.970 0.750 Ge
0.250 0.030 0.250 Ge
```

=====

Entry 20:
Crystalline YZr3Ge at its relaxed geometry. Source: the Alexandria database, functional PBE-GGA.

Properties
The value obtained for the density is 5.2 Mg/m³. The calculation puts the total moment at 1.2 μB/f.u. The calculation puts the formation energy at 1444 meV/atom.

The structure in POSCAR format:
```
YZr3Ge
1.0
5.171 0.000 0.000
0.000 5.171 0.000
0.000 0.000 5.171
Y Zr Ge
1 3 1
direct
0.000 0.000 0.000 Y
0.500 0.000 0.000 Zr
0.000 0.500 0.000 Zr
0.000 0.000 0.500 Zr
0.500 0.500 0.500 Ge
```

=====

Number 1: D(E_F) 0.31 states/eV/atom. Number 2: D(E_F) 1.47 states/eV/atom. Number 3: D(E_F) 0.45 states/eV/atom. Number 4: D(E_F) 0.19 states/eV/atom. Number 5: D(E_F) 0.49 states/eV/atom. Number 6: D(E_F) 0.81 states/eV/atom. Number 7: D(E_F) 0.77 states/eV/atom. Number 8: D(E_F) 0.48 states/eV/atom. Number 9: D(E_F) 0.18 states/eV/atom. Number 10: D(E_F) 1.33 states/eV/atom. Number 11: D(E_F) 0.51 states/eV/atom. Number 12: D(E_F) 0.82 states/eV/atom. Number 13: D(E_F) 0.00 states/eV/atom. Number 14: D(E_F) 0.56 states/eV/atom. Number 15: D(E_F) 1.70 states/eV/atom. Number 16: D(E_F) 1.56 states/eV/atom. Number 17: D(E_F) 0.33 states/eV/atom. Number 18: D(E_F) 1.95 states/eV/atom. Number 19: D(E_F) 0.82 states/eV/atom. Number 20: D(E_F) 1.52 states/eV/atom.